[1]
Compound: Tl2RhAu
Source: Alexandria via LeMat-Bulk
Functional: PBE
Structure: relaxed

Lattice parameters (Å, degrees): 3.5106 4.0670 5.8593 90.00 90.00 90.00
Last column: nearest neighbours and their distance in Å.
Space group Pmm2 (No. 25)
Unique sites:
Tl: 0.0000 0.0000 0.0000 [1 per cell]  2 Au 2.76-3.09, 4 Rh 2.88
Tl: 0.5000 0.5000 0.3286 [1 per cell]  2 Rh 2.89-2.97, 4 Au 2.93
Rh: 0.5000 0.5000 0.8219 [1 per cell]  6 Tl 2.88-2.97, 4 Au 3.19
Au: 0.0000 0.0000 0.5282 [1 per cell]  6 Tl 2.76-3.09

calculated formation energy	0.7	eV per formula unit

[2]
Compound: SnP2SCl
Source: Alexandria via LeMat-Bulk
Functional: PBE
Structure: relaxed

Lattice parameters (Å, degrees): 5.1590 5.1590 4.9482 90.00 90.00 90.00
Last column: nearest neighbours and their distance in Å.
Space group P4/mmm (No. 123)
Unique sites:
Sn: 0.0000 0.0000 0.0000 [1 per cell]  2 Cl 2.47, 4 P 2.58
P: 0.0000 0.5000 0.0000 [2 per cell]  2 Sn 2.58
S: 0.5000 0.5000 0.5000 [1 per cell]  8 P 3.57, 4 Cl 3.65
Cl: 0.0000 0.0000 0.5000 [1 per cell]  2 Sn 2.47

relative energy among the computed polymorphs	0.429	eV per atom
E_form (uncorrected)	1.00	eV per atom

[3]
Compound: YTi2FePb
Source: Alexandria via LeMat-Bulk
Functional: PBE
Structure: relaxed

Lattice parameters (Å, degrees): 5.1094 5.1094 5.6606 90.00 90.00 90.00
Last column: nearest neighbours and their distance in Å.
Space group P4/mmm (No. 123)
Unique sites:
Y: 0.0000 0.0000 0.0000 [1 per cell]  2 Pb 2.83
Ti: 0.0000 0.5000 0.5000 [2 per cell]  2 Pb 2.55
Fe: 0.5000 0.5000 0.0000 [1 per cell]  4 Y 3.61, 8 Ti 3.81
Pb: 0.0000 0.0000 0.5000 [1 per cell]  4 Ti 2.55, 2 Y 2.83

calculated formation energy	8.3	eV per formula unit

[4]
Compound: BePOs2
Source: Alexandria via LeMat-Bulk
Functional: PBE
Structure: relaxed

Lattice parameters (Å, degrees): 5.9546 5.9546 5.9546 90.00 90.00 90.00
Last column: nearest neighbours and their distance in Å.
Space group F-43m (No. 216)
Unique sites:
Be: 0.0000 0.0000 0.0000 [4 per cell]  4 Os 2.58, 4 P 2.58
P: 0.2500 0.2500 0.2500 [4 per cell]  4 Os 2.58, 4 Be 2.58
Os: 0.0000 0.0000 0.5000 [4 per cell]  4 Os 2.58, 4 P 2.58
Os: 0.2500 0.2500 0.7500 [4 per cell]  4 Os 2.58, 4 Be 2.58

calculated formation energy	2.1	eV per formula unit